ScRe4Tc: relaxed, GGA-PBE.

Cell lengths 7.3453, 7.3453, 7.3453 Å; angles 90.00, 90.00, 90.00 degrees
Space group F-43m (No. 216)
Symmetry-distinct sites (fractional):
Sc 0.0000 0.0000 0.0000
Re 0.1259 0.1259 0.6259
Tc 0.2500 0.2500 0.2500

- raw total energy (eV per atom) = -11.0102
- crystal system = cubic
- formation energy (eV/atom) = 0.07